Version w
A plane-wave DFT calculation with PBE was carried out for a relaxed TcIrAu2 crystal.

Summary:
As for the size of the total moment: 1.24 Bohr magnetons per cell. As for the space-group type: Immm (71).

```
TcIrAu2
1.0
-3.109 4.277 1.986
-2.490 -0.321 5.059
4.613 0.115 -3.256
Tc Au Ir
1 2 1
Direct
0.250 0.750 0.500
0.500 0.500 0.000
0.000 0.000 0.000
0.750 0.250 0.500
```



Version x
A plane-wave DFT calculation with PBE was carried out for a relaxed TcIrAu2 crystal.

Summary:
As for the size of the total moment: 0.27 Bohr magnetons per cell. As for the space-group type: Cmmm (65).

```
TcIrAu2
1.0
-2.477 -1.183 -0.294
2.059 -0.845 -1.634
2.458 -6.790 6.608
Au Tc Ir
2 1 1
Direct
0.000 0.000 0.000
0.000 0.000 0.500
0.500 0.500 0.750
0.500 0.500 0.250
```



Winner for stability: version w



Version w
A plane-wave DFT calculation with PBE was carried out for a relaxed TcIr2Au2 crystal.

Summary:
As for the size of the total moment: 3.97 Bohr magnetons per cell. As for the space-group type: I4/mmm (139).

```
TcIr2Au2
1.0
3.619 0.000 0.000
0.000 3.619 0.000
1.810 1.810 6.979
Au Ir Tc
2 2 1
Direct
0.403 0.403 0.195
0.597 0.597 0.805
0.250 0.750 0.500
0.750 0.250 0.500
0.000 0.000 0.000
```



Version x
A plane-wave DFT calculation with PBE was carried out for a relaxed TcIr2Au2 crystal.

Summary:
As for the size of the total moment: 0.00 Bohr magnetons per cell. As for the space-group type: P4/mbm (127).

```
TcIr2Au2
1.0
-5.294 -5.236 -1.075
3.196 -1.888 -6.544
1.682 -1.987 1.395
Tc Au Ir
2 4 4
Direct
0.500 0.500 0.000
0.000 0.000 0.000
0.634 0.134 0.000
0.366 0.866 0.000
0.134 0.366 0.000
0.866 0.634 0.000
0.833 0.333 0.500
0.667 0.833 0.500
0.333 0.167 0.500
0.167 0.667 0.500
```



Winner for stability: version x



Version w
A plane-wave DFT calculation with PBE was carried out for a relaxed Tc2Ir2Au crystal.

Summary:
As for the size of the total moment: 0.00 Bohr magnetons per cell. As for the space-group type: P4/mbm (127).

```
Tc2Ir2Au
1.0
7.622 0.000 0.000
0.000 7.622 0.000
0.000 0.000 2.735
Ir Au Tc
4 2 4
Direct
0.877 0.623 0.000
0.623 0.123 0.000
0.377 0.877 0.000
0.123 0.377 0.000
0.500 0.500 0.000
0.000 0.000 0.000
0.171 0.671 0.500
0.829 0.329 0.500
0.329 0.171 0.500
0.671 0.829 0.500
```



Version x
A plane-wave DFT calculation with PBE was carried out for a relaxed Tc2Ir2Au crystal.

Summary:
As for the size of the total moment: 0.00 Bohr magnetons per cell. As for the space-group type: P4/mbm (127).

```
Tc2Ir2Au
1.0
-4.116 2.048 6.110
2.233 -6.347 3.632
2.165 1.339 1.009
Au Tc Ir
2 4 4
Direct
0.000 0.000 0.000
0.500 0.500 0.000
0.621 0.121 0.000
0.379 0.879 0.000
0.121 0.379 0.000
0.879 0.621 0.000
0.333 0.167 0.500
0.833 0.333 0.500
0.167 0.667 0.500
0.667 0.833 0.500
```



Winner for stability: version w